DFT (PBE-GGA) results for an optimized crystal structure of PuNpAu2.

The structure belongs to space group P4/mmm (No. 123); the cell edges are 3.909, 3.909 and 6.071 Å and the angles 90.00°, 90.00° and 90.00°. The asymmetric unit holds Pu at (0.000, 0.000, 0.000), Np at (0.000, 0.000, 0.500) and Au at (0.500, 0.500, 0.252).

For the formation energy, the calculation gives -0.20 eV/atom. The calculation puts the density of states at the Fermi level at 15.0 states/eV/f.u. The magnetization is 10.57 μB/cell.